# 1
Below is Ta2PCl after structural relaxation, with properties calculated at the PBE level.

abc: 4.5435 2.9807 5.0371
angles: 73.07 90.00 90.00
Fractional coordinates of all 4 atoms:
Cl: 0.0000 0.3329 0.4597
P: 0.5000 0.6743 0.7794
Ta: 0.5000 0.4084 0.3049
Ta: 0.0000 0.0844 0.9560

Properties
The calculation puts the raw formation energy at -0.061 eV/atom. Its size of the total moment is 0.0 Bohr magnetons per cell.


# 2
Below is Nd8Ni3PtCl4 after structural relaxation, with properties calculated at the PBE level.

abc: 8.1742 8.8258 8.1773
angles: 117.64 119.99 90.00
Fractional coordinates of all 16 atoms:
Cl: 0.0000 0.0000 0.5000
Cl: 0.5000 0.0000 0.5000
Cl: 0.0000 0.0000 0.0000
Cl: 0.5000 0.0000 0.0000
Nd: 0.2393 0.7053 0.9668
Nd: 0.7607 0.2947 0.0332
Nd: 0.7607 0.2948 0.5214
Nd: 0.2657 0.2981 0.5314
Nd: 0.7275 0.7053 0.9668
Nd: 0.2725 0.2947 0.0332
Nd: 0.2393 0.7052 0.4786
Nd: 0.7343 0.7019 0.4686
Ni: 0.5000 0.5000 0.5000
Ni: 0.0000 0.5000 0.5000
Ni: 0.5000 0.5000 0.0000
Pt: 0.0000 0.5000 0.0000

Properties
The calculation puts the raw formation energy at -1.012 eV/atom. Its size of the total moment is 0.0 Bohr magnetons per cell.


> Which of these has the highest raw formation energy?

Ta2PCl


> Which formula does entry 2 have?

Nd8Ni3PtCl4


> What is the raw formation energy in the first record?

-0.061 eV/atom